Nd8Ir3SeI4 | GGA-PBE | optimized geometry

It has space group R-3m (No. 166, hexagonal axes), with a = 8.5735 Å, b = 8.5735 Å, c = 24.0426 Å, α = 90.00°, β = 90.00° and γ = 120.00°. The asymmetric unit holds Nd at (0.0000, 0.0000, 0.2280), Nd at (0.0200, 0.5100, 0.7708), Ir at (0.0000, 0.5000, 0.5000), Se at (0.0000, 0.0000, 0.5000), I at (0.0000, 0.0000, 0.0000) and I at (0.0000, 0.5000, 0.0000).

For the density of states at the Fermi level, the calculation gives 24.66 states/eV per cell. As for the total energy: -5.702 eV per atom.


Nb2SiS | GGA-PBE | optimized geometry

It has space group I-42d (No. 122), with a = 5.525 Å, b = 5.525 Å, c = 11.642 Å, α = 90.00°, β = 90.00° and γ = 90.00°. The asymmetric unit holds Nb at (0.235, 0.250, 0.125), Si at (0.000, 0.000, 0.500) and S at (0.000, 0.000, 0.000).

For the density of states at the Fermi level, the calculation gives 15.76 states/eV per cell. As for the total energy: -7.216 eV per atom.